Density functional theory data (PBE) for a relaxed structure of PmU2P3.

Energy of formation in kcal/mol of atoms: -26.33
V in A^3/atom: 22.6
Space-group type: Pnma, No. 62
DOS(E_F) in states/eV per cell: 48.1
E in eV per atom: -8.4014

Unit cell a=5.6526 b=7.9733 c=12.0214 alpha=90.00 beta=90.00 gamma=89.99
With the nearest neighbours (Å) after each atom.
Element x y z (fractional)
Pm 0.2498 0.8748 0.0802  6 P 2.83-2.89
Pm 0.2498 0.3748 0.4198  6 P 2.83-2.89
Pm 0.7502 0.6252 0.5802  6 P 2.83-2.89
Pm 0.7502 0.1252 0.9198  6 P 2.83-2.89
U 0.2505 0.8751 0.7531  6 P 2.77-2.83
U 0.2505 0.3751 0.7469  6 P 2.77-2.83
U 0.2497 0.8779 0.4157  6 P 2.81-2.83
U 0.2497 0.3779 0.0843  6 P 2.81-2.83
U 0.7503 0.6221 0.9157  6 P 2.81-2.83
U 0.7503 0.1221 0.5843  6 P 2.81-2.83
U 0.7495 0.6249 0.2531  6 P 2.77-2.83
U 0.7495 0.1249 0.2469  6 P 2.77-2.83
P 0.2502 0.6345 0.5874  3 U 2.77-2.83, 3 Pm 2.83-2.89
P 0.2502 0.1345 0.9126  3 U 2.77-2.83, 3 Pm 2.83-2.89
P 0.2503 0.6181 0.9125  5 U 2.78-2.83, 1 Pm 2.87
P 0.2503 0.1181 0.5875  5 U 2.78-2.83, 1 Pm 2.87
P 0.2495 0.6262 0.2518  4 U 2.81-2.83, 2 Pm 2.84-2.86
P 0.2495 0.1262 0.2482  4 U 2.81-2.83, 2 Pm 2.84-2.86
P 0.7505 0.8738 0.7518  4 U 2.81-2.83, 2 Pm 2.84-2.86
P 0.7505 0.3738 0.7482  4 U 2.81-2.83, 2 Pm 2.84-2.86
P 0.7497 0.8819 0.4125  5 U 2.78-2.83, 1 Pm 2.87
P 0.7497 0.3819 0.0875  5 U 2.78-2.83, 1 Pm 2.87
P 0.7498 0.8655 0.0874  3 U 2.77-2.83, 3 Pm 2.83-2.89
P 0.7498 0.3655 0.4126  3 U 2.77-2.83, 3 Pm 2.83-2.89


Density functional theory data (PBE) for a relaxed structure of PmUP2.

Offset from the most stable computed form in kJ per mole of atoms: 41.56
Energy of formation in kcal/mol of atoms: -19.27
V in A^3/atom: 20.7
Space-group type: Fm-3m, No. 225
DOS(E_F) in states/eV per cell: 4.7
E in eV per atom: -7.5505

Unit cell a=4.8912 b=4.8912 c=4.8912 alpha=60.00 beta=60.00 gamma=60.00
With the nearest neighbours (Å) after each atom.
Element x y z (fractional)
P 0.2500 0.2500 0.2500  4 U 3.00, 4 Pm 3.00
P 0.7500 0.7500 0.7500  4 U 3.00, 4 Pm 3.00
U 0.5000 0.5000 0.5000  8 P 3.00
Pm 0.0000 0.0000 0.0000  8 P 3.00


Density functional theory data (PBE) for a relaxed structure of PmUP.

Offset from the most stable computed form in kJ per mole of atoms: 0.00
Energy of formation in kcal/mol of atoms: -9.71
V in A^3/atom: 27.2
Space-group type: P3m1, No. 156
DOS(E_F) in states/eV per cell: 7.3
E in eV per atom: -7.5705

Unit cell a=6.6006 b=3.7754 c=3.7754 alpha=120.00 beta=90.00 gamma=90.00
With the nearest neighbours (Å) after each atom.
Element x y z (fractional)
P 0.3260 0.3333 0.6667  3 U 2.74, 3 Pm 2.83
U 0.0740 0.0000 0.0000  3 P 2.74
Pm 0.6000 0.6667 0.3333  3 P 2.83